# TbNbTc | OQMD | PBE-GGA | optimized geometry
data_TbNbTc
_chemical_formula_sum 'Tb4 Nb4 Tc4'
_cell_length_a 6.4103
_cell_length_b 6.4103
_cell_length_c 6.4103
_cell_angle_alpha 90.00
_cell_angle_beta 90.00
_cell_angle_gamma 90.00
_space_group_name_H-M_alt 'F -4 3 m'
_space_group_IT_number 216
_space_group_name_Hall 'F -4 2 3'
loop_
_atom_site_label
_atom_site_type_symbol
_atom_site_fract_x
_atom_site_fract_y
_atom_site_fract_z
_atom_site_occupancy
Tb1 Tb 0.0000 0.0000 0.0000 1
Nb1 Nb 0.2500 0.2500 0.2500 1
Tc1 Tc 0.0000 0.0000 0.5000 1
# energy of formation	0.644	eV/atom
# calculated density	8.821	g/cm³
# calculated total energy	-7.718	eV/atom